(1)
This record from Alexandria via LeMat-Bulk describes crystalline LiSbAs at its relaxed geometry. The functional is PBE.

It has space group Cm (No. 8), with a = 15.6922 Å, b = 3.9221 Å, c = 4.7318 Å, α = 90.00°, β = 90.59° and γ = 90.00°. The asymmetric unit holds Li at (0.0000, 0.0000, 0.0000), Li at (0.2111, 0.0000, 0.1949), Sb at (0.1790, 0.5000, 0.7240), Sb at (0.3601, 0.5000, 0.5063), As at (0.0802, 0.0000, 0.5111) and As at (0.3724, 0.0000, 0.1101).

The calculation puts the total magnetization at 0.00 μB per atom. For the density of states at the Fermi level, the calculation gives 1.2 states/eV per cell. Its crystal system is monoclinic. The calculation puts the volume at 24.3 Å³ per atom. The calculation puts the raw formation energy at -0.256 eV/atom. The calculation puts the total DFT energy (no corrections) at -3.818 eV/atom.

=====

(2)
This record from Alexandria via LeMat-Bulk describes crystalline SnTe2Ru at its relaxed geometry. The functional is PBE.

It has space group R-3m (No. 166, hexagonal axes), with a = 3.1382 Å, b = 3.1382 Å, c = 36.7206 Å, α = 90.00°, β = 90.00° and γ = 120.00°. The asymmetric unit holds Sn at (0.0000, 0.0000, 0.0000), Te at (0.0000, 0.0000, 0.4307) and Ru at (0.0000, 0.0000, 0.5000).

The calculation puts the total magnetization at 0.00 μB per atom. For the density of states at the Fermi level, the calculation gives 6.1 states/eV per cell. Its crystal system is trigonal. The calculation puts the volume at 26.1 Å³ per atom. The calculation puts the raw formation energy at 0.501 eV/atom. The calculation puts the total DFT energy (no corrections) at -4.390 eV/atom.

=====

(3)
This record from Alexandria via LeMat-Bulk describes crystalline Mo2P2Ir at its relaxed geometry. The functional is PBE.

It has space group I4/mmm (No. 139), with a = 4.1975 Å, b = 4.1975 Å, c = 8.7144 Å, α = 90.00°, β = 90.00° and γ = 90.00°. The asymmetric unit holds Mo at (0.0000, 0.5000, 0.2500), P at (0.0000, 0.0000, 0.1205) and Ir at (0.0000, 0.0000, 0.5000).

The calculation puts the total magnetization at 0.00 μB per atom. For the density of states at the Fermi level, the calculation gives 5.5 states/eV per cell. Its crystal system is tetragonal. The calculation puts the volume at 15.4 Å³ per atom. The formation energy is -0.05 eV per atom. As for the excess energy over the best structure of this formula in the dataset: 0.127 eV per atom. The calculation puts the total DFT energy (no corrections) at -8.323 eV/atom.

=====

(4)
This record from Alexandria via LeMat-Bulk describes crystalline Ba4NaN at its relaxed geometry. The functional is PBE.

It has space group Pnma (No. 62), with a = 13.1241 Å, b = 8.7536 Å, c = 11.4161 Å, α = 90.00°, β = 90.00° and γ = 90.00°. The asymmetric unit holds Ba at (0.0675, 0.0198, 0.1851), Ba at (0.0942, 0.7500, 0.5633), Ba at (0.2222, 0.2500, 0.4407), Na at (0.1831, 0.2500, 0.8141) and N at (0.0667, 0.2500, 0.3147).

The calculation puts the total magnetization at 0.07 μB per atom. For the density of states at the Fermi level, the calculation gives 26.4 states/eV per cell. Its crystal system is orthorhombic. The calculation puts the volume at 54.6 Å³ per atom. The calculation puts the raw formation energy at -0.185 eV/atom. As for the excess energy over the best structure of this formula in the dataset: 0.000 eV per atom. The calculation puts the total DFT energy (no corrections) at -3.074 eV/atom.

=====

(5)
This record from Alexandria via LeMat-Bulk describes crystalline Y3In3Sn4 at its relaxed geometry. The functional is PBE.

It has space group Amm2 (No. 38), with a = 4.4744 Å, b = 11.3502 Å, c = 10.8940 Å, α = 90.00°, β = 90.00° and γ = 90.00°. The asymmetric unit holds Y at (0.0000, 0.0000, 0.0000), Y at (0.0000, 0.1717, 0.6592), In at (0.0000, 0.0000, 0.3321), In at (0.5000, 0.2461, 0.9096), Sn at (0.5000, 0.0000, 0.5287), Sn at (0.5000, 0.0000, 0.7981) and Sn at (0.5000, 0.1343, 0.1568).

The calculation puts the total magnetization at 0.00 μB per atom. For the density of states at the Fermi level, the calculation gives 10.9 states/eV per cell. Its crystal system is orthorhombic. The calculation puts the volume at 27.7 Å³ per atom. The formation energy is -0.37 eV per atom. The calculation puts the total DFT energy (no corrections) at -4.730 eV/atom.

=====

(6)
This record from Alexandria via LeMat-Bulk describes crystalline TlSbI3 at its relaxed geometry. The functional is PBE.

It has space group P-1 (No. 2), with a = 4.4476 Å, b = 9.8367 Å, c = 9.9004 Å, α = 91.12°, β = 94.28° and γ = 100.91°. The asymmetric unit holds Tl at (0.1071, 0.1880, 0.0542), Sb at (0.4697, 0.6206, 0.4054), I at (0.0155, 0.2112, 0.4465), I at (0.2085, 0.4902, 0.8025) and I at (0.4925, 0.9281, 0.1885).

The calculation puts the total magnetization at 0.00 μB per atom. Its crystal system is triclinic. The calculation puts the volume at 42.4 Å³ per atom. The calculation puts the raw formation energy at -0.361 eV/atom. As for the excess energy over the best structure of this formula in the dataset: 0.000 eV per atom. The calculation puts the total DFT energy (no corrections) at -2.589 eV/atom.

=====

(7)
This record from Alexandria via LeMat-Bulk describes crystalline ReSi3Rh at its relaxed geometry. The functional is PBE.

It has space group Pm-3m (No. 221), with a = 4.6029 Å, b = 4.6029 Å, c = 4.6029 Å, α = 90.00°, β = 90.00° and γ = 90.00°. The asymmetric unit holds Re at (0.0000, 0.0000, 0.0000), Si at (0.0000, 0.0000, 0.5000) and Rh at (0.5000, 0.5000, 0.5000).

The calculation puts the total magnetization at 0.00 μB per atom. For the density of states at the Fermi level, the calculation gives 2.0 states/eV per cell. Its crystal system is cubic. The calculation puts the volume at 19.5 Å³ per atom. The calculation puts the raw formation energy at 0.779 eV/atom. As for the excess energy over the best structure of this formula in the dataset: 0.000 eV per atom. The calculation puts the total DFT energy (no corrections) at -6.435 eV/atom.

=====

(8)
This record from Alexandria via LeMat-Bulk describes crystalline Tb5Dy5Er2 at its relaxed geometry. The functional is PBE.

It has space group C2/m (No. 12), with a = 14.9916 Å, b = 5.0021 Å, c = 11.1744 Å, α = 90.00°, β = 116.56° and γ = 90.00°. The asymmetric unit holds Tb at (0.0000, 0.0000, 0.0000), Tb at (0.0832, 0.0000, 0.7501), Tb at (0.1665, 0.0000, 0.4998), Dy at (0.0000, 0.5000, 0.5000), Dy at (0.1667, 0.5000, 0.0002), Dy at (0.2494, 0.0000, 0.2494) and Er at (0.0835, 0.5000, 0.2501).

The calculation puts the total magnetization at 0.00 μB per atom. For the density of states at the Fermi level, the calculation gives 30.7 states/eV per cell. Its crystal system is monoclinic. The calculation puts the volume at 31.2 Å³ per atom. The formation energy is 0.02 eV per atom. The calculation puts the total DFT energy (no corrections) at -4.591 eV/atom.

=====

(9)
This record from Alexandria via LeMat-Bulk describes crystalline AlW2Se at its relaxed geometry. The functional is PBE.

It has space group P2/m (No. 10), with a = 4.7070 Å, b = 3.0438 Å, c = 4.7445 Å, α = 90.00°, β = 108.34° and γ = 90.00°. The asymmetric unit holds Al at (0.0000, 0.0000, 0.0000), W at (0.5000, 0.0000, 0.5000), W at (0.5000, 0.5000, 0.0000) and Se at (0.0000, 0.5000, 0.5000).

The calculation puts the total magnetization at 0.00 μB per atom. For the density of states at the Fermi level, the calculation gives 2.7 states/eV per cell. Its crystal system is monoclinic. The calculation puts the volume at 16.1 Å³ per atom. The calculation puts the raw formation energy at 0.366 eV/atom. As for the excess energy over the best structure of this formula in the dataset: 0.244 eV per atom. The calculation puts the total DFT energy (no corrections) at -7.917 eV/atom.

=====

(10)
This record from Alexandria via LeMat-Bulk describes crystalline SiTcW2 at its relaxed geometry. The functional is PBE.

It has space group R-3m (No. 166, hexagonal axes), with a = 2.8269 Å, b = 2.8269 Å, c = 26.1515 Å, α = 90.00°, β = 90.00° and γ = 120.00°. The asymmetric unit holds Si at (0.0000, 0.0000, 0.0000), Tc at (0.0000, 0.0000, 0.5000) and W at (0.0000, 0.0000, 0.2516).

The calculation puts the total magnetization at 0.00 μB per atom. For the density of states at the Fermi level, the calculation gives 5.7 states/eV per cell. Its crystal system is trigonal. The calculation puts the volume at 15.1 Å³ per atom. The calculation puts the raw formation energy at 0.137 eV/atom. The calculation puts the total DFT energy (no corrections) at -10.287 eV/atom.

=====

(11)
This record from Alexandria via LeMat-Bulk describes crystalline CeMnB4 at its relaxed geometry. The functional is PBE.

It has space group Pbam (No. 55), with a = 5.9467 Å, b = 11.5090 Å, c = 3.5004 Å, α = 90.00°, β = 90.00° and γ = 90.00°. The asymmetric unit holds Ce at (0.1249, 0.1505, 0.0000), Mn at (0.1287, 0.4140, 0.0000), B at (0.0248, 0.6890, 0.5000), B at (0.1114, 0.5455, 0.5000), B at (0.1408, 0.9671, 0.5000) and B at (0.2216, 0.8172, 0.5000).

The calculation puts the total magnetization at 0.11 μB per atom. For the density of states at the Fermi level, the calculation gives 13.4 states/eV per cell. Its crystal system is orthorhombic. The calculation puts the volume at 10.0 Å³ per atom. The formation energy is -0.59 eV per atom. The calculation puts the total DFT energy (no corrections) at -7.556 eV/atom.

=====

(12)
This record from Alexandria via LeMat-Bulk describes crystalline SiNiS at its relaxed geometry. The functional is PBE.

It has space group Amm2 (No. 38), with a = 3.3913 Å, b = 2.5707 Å, c = 10.0063 Å, α = 90.00°, β = 90.00° and γ = 90.00°. The asymmetric unit holds Si at (0.0000, 0.0000, 0.0000), Ni at (0.5000, 0.0000, 0.6024) and S at (0.0000, 0.0000, 0.7775).

The calculation puts the total magnetization at 0.00 μB per atom. For the density of states at the Fermi level, the calculation gives 4.0 states/eV per cell. Its crystal system is orthorhombic. The calculation puts the volume at 14.5 Å³ per atom. The calculation puts the raw formation energy at -0.188 eV/atom. The calculation puts the total DFT energy (no corrections) at -5.299 eV/atom.